[1]
Material: Tl2MoRu
Method: DFT, PBE
State: optimized geometry

Density of states at the Fermi level (states/eV/cell): 1.9
Relative energy among the computed polymorphs (eV/atom): 0.472
Space-group type: Fm-3m (225)
Calculated formation energy (meV per atom): 806

Cell lengths 4.7388, 4.7388, 4.7388 Å; angles 60.00, 60.00, 60.00 degrees
Closest atoms and distances in Å follow each position.
Atoms (fractional coordinates):
Ru  0.5000  0.5000  0.5000  8 Tl 2.90
Tl  0.7500  0.7500  0.7500  4 Ru 2.90, 4 Mo 2.90
Tl  0.2500  0.2500  0.2500  4 Mo 2.90, 4 Ru 2.90
Mo  0.0000  0.0000  0.0000  8 Tl 2.90

[2]
Material: CdSbPt
Method: DFT, PBE
State: optimized geometry

Density of states at the Fermi level (states/eV/cell): 1.9
Energy relative to the elements, uncorrected (eV per formula unit): -0.47
Space-group type: P3m1 (156)

Cell lengths 3.5581, 3.5581, 6.2576 Å; angles 90.00, 90.00, 120.00 degrees
Closest atoms and distances in Å follow each position.
Atoms (fractional coordinates):
Pt  0.6667  0.3333  0.3489  3 Sb 2.66, 3 Cd 2.85
Cd  0.0000  0.0000  0.0334  3 Pt 2.85
Sb  0.3333  0.6667  0.6178  3 Pt 2.66

[3]
Material: GdScInPd
Method: DFT, PBE
State: optimized geometry

Density of states at the Fermi level (states/eV/cell): 3.3
Space-group type: F-43m (216)
Calculated formation energy (meV per atom): -566

Cell lengths 5.0507, 5.0507, 5.0507 Å; angles 60.00, 60.00, 60.00 degrees
Closest atoms and distances in Å follow each position.
Atoms (fractional coordinates):
In  0.2500  0.2500  0.2500  4 Gd 3.09, 4 Sc 3.09
Gd  0.5000  0.5000  0.5000  4 In 3.09, 4 Pd 3.09
Sc  0.0000  0.0000  0.0000  4 In 3.09, 4 Pd 3.09
Pd  0.7500  0.7500  0.7500  4 Gd 3.09, 4 Sc 3.09

[4]
Material: BeMoPd
Method: DFT, PBE
State: optimized geometry

Density of states at the Fermi level (states/eV/cell): 3.1
Relative energy among the computed polymorphs (eV/atom): 0.210
Space-group type: P1 (1)
Calculated formation energy (meV per atom): -30

Cell lengths 5.5927, 2.7546, 5.6963 Å; angles 94.29, 107.53, 104.46 degrees
Closest atoms and distances in Å follow each position.
Atoms (fractional coordinates):
Mo  0.7222  0.7302  0.3786  4 Be 2.45-2.52, 1 Mo 2.54, 1 Pd 2.66
Mo  0.0918  0.3165  0.7425  3 Be 2.49-2.60, 3 Mo 2.54-2.75
Be  0.4496  0.0361  0.0327  3 Pd 2.32-2.40, 1 Be 2.39, 4 Mo 2.45-2.51
Be  0.9127  0.2718  0.1140  4 Pd 2.31-2.38, 1 Be 2.39, 2 Mo 2.48-2.52
Pd  0.2538  0.9604  0.3551  3 Be 2.31-2.40
Pd  0.6381  0.5901  0.8071  4 Be 2.32-2.35

[5]
Material: SrZn2In
Method: DFT, PBE
State: optimized geometry

Density of states at the Fermi level (states/eV/cell): 1.9
Space-group type: Pm (6)
Calculated formation energy (meV per atom): -173

Cell lengths 4.4178, 3.8738, 6.2042 Å; angles 71.88, 90.00, 90.00 degrees
Closest atoms and distances in Å follow each position.
Atoms (fractional coordinates):
Sr  0.5000  0.7889  0.7941  7 Zn 3.21-3.32
In  0.0000  0.4753  0.4198  6 Zn 2.97-3.12
Zn  0.5000  0.0681  0.2492  2 Zn 2.54
Zn  0.0000  0.1677  0.0369  2 Zn 2.54

[6]
Material: AlTl2Mo
Method: DFT, PBE
State: optimized geometry

Density of states at the Fermi level (states/eV/cell): 2.3
Relative energy among the computed polymorphs (eV/atom): 0.153
Space-group type: Imm2 (44)
Calculated formation energy (meV per atom): 540

Cell lengths 5.7118, 5.7118, 5.7118 Å; angles 143.44, 131.55, 62.19 degrees
Closest atoms and distances in Å follow each position.
Atoms (fractional coordinates):
Tl  0.0158  0.0158  0.0000  4 Al 2.98, 4 Mo 3.08-3.34, 4 Tl 3.22-3.23
Tl  0.7426  0.2426  0.5000  4 Mo 2.96, 4 Tl 3.22-3.23, 4 Al 3.22-3.23
Mo  0.2722  0.7722  0.5000  2 Al 2.63
Al  0.4693  0.4693  0.0000  2 Mo 2.63

[7]
Material: TmThTl2
Method: DFT, PBE
State: optimized geometry

Density of states at the Fermi level (states/eV/cell): 3.3
Space-group type: R-3m (166)
Calculated formation energy (meV per atom): -139

Cell lengths 3.5936, 3.5936, 10.6210 Å; angles 80.26, 80.26, 60.00 degrees
Closest atoms and distances in Å follow each position.
Atoms (fractional coordinates):
Tl  0.7546  0.7546  0.7362  3 Tm 3.22, 3 Th 3.44, 6 Tl 3.59
Tl  0.2454  0.2454  0.2638  3 Tm 3.22, 3 Th 3.44, 6 Tl 3.59
Tm  0.5000  0.5000  0.5000  6 Tl 3.22, 6 Tm 3.59
Th  0.0000  0.0000  0.0000  6 Tl 3.44, 6 Th 3.59

[8]
Material: MgZnAs2Br
Method: DFT, PBE
State: optimized geometry

Density of states at the Fermi level (states/eV/cell): 3.7
Relative energy among the computed polymorphs (eV/atom): 0.131
Energy relative to the elements, uncorrected (eV per formula unit): 2.17
Space-group type: P4/mmm (123)

Cell lengths 5.1272, 5.1272, 5.1445 Å; angles 90.00, 90.00, 90.00 degrees
Closest atoms and distances in Å follow each position.
Atoms (fractional coordinates):
As  0.5000  0.0000  0.0000  2 Mg 2.56
As  0.0000  0.5000  0.0000  2 Mg 2.56
Br  0.0000  0.0000  0.5000  2 Mg 2.57
Mg  0.0000  0.0000  0.0000  4 As 2.56, 2 Br 2.57
Zn  0.5000  0.5000  0.5000  4 Br 3.63, 8 As 3.63

| no. | total magnetization (μB/atom) |
| --- | --- |
| 1 | 0.614 |
| 2 | 0.000 |
| 3 | 1.797 |
| 4 | 0.000 |
| 5 | 0.000 |
| 6 | 0.000 |
| 7 | 0.000 |
| 8 | 0.192 |